# LaZnCu, PBEsol geometry, DFT SCAN
data_LaZnCu
_chemical_formula_sum 'La2 Zn2 Cu2'
_cell_length_a 3.230
_cell_length_b 3.230
_cell_length_c 11.038
_cell_angle_alpha 90.00
_cell_angle_beta 90.00
_cell_angle_gamma 90.00
_symmetry_space_group_name_H-M 'P 1'
_symmetry_Int_Tables_number 1
loop_
_symmetry_equiv_pos_as_xyz
'x,y,z'
loop_
_atom_site_label
_atom_site_fract_x
_atom_site_fract_y
_atom_site_fract_z
La1 0.000 0.000 0.000
La2 0.500 0.500 0.500
Zn1 0.000 0.000 0.707
Zn2 0.500 0.500 0.207
Cu1 0.000 0.000 0.305
Cu2 0.500 0.500 0.805
# Theoretical density in g/cm³: 7.73
# Calculated formation energy in kJ per mole of atoms: -11
# Final energy in eV/atom: -24.058